The following is a PBE-GGA calculation of an optimized crystal structure of Si5Rh, from the Alexandria database.

Lattice parameters (Å, degrees): 4.559 4.559 4.690 90.00 90.00 120.00
Atoms (fractional coordinates):
1 Si 0.673 0.000 0.000
2 Si 0.327 0.327 0.000
3 Si 0.000 0.673 0.000
4 Si 0.667 0.333 0.500
5 Si 0.333 0.667 0.500
6 Rh 0.000 0.000 0.500

Properties
Its space group is P-62m. As for the electronic total energy: -5.5092 eV/atom.


The following is a PBE-GGA calculation of an optimized crystal structure of SiRh, from the Alexandria database.

Lattice parameters (Å, degrees): 3.943 8.346 5.484 90.00 90.00 90.00
Atoms (fractional coordinates):
1 Si 0.500 0.817 0.749
2 Si 0.500 0.183 0.749
3 Si 0.500 0.317 0.249
4 Si 0.500 0.683 0.249
5 Si 0.000 0.000 0.153
6 Si 0.000 0.500 0.653
7 Rh 0.000 0.259 0.970
8 Rh 0.000 0.741 0.970
9 Rh 0.000 0.759 0.470
10 Rh 0.000 0.241 0.470
11 Rh 0.500 0.000 0.413
12 Rh 0.500 0.500 0.913

Properties
Its space group is Amm2. As for the electronic total energy: -6.9550 eV/atom.


The following is a PBE-GGA calculation of an optimized crystal structure of SiRh, from the Alexandria database.

Lattice parameters (Å, degrees): 2.980 2.980 2.980 90.00 90.00 90.00
Atoms (fractional coordinates):
1 Si 0.500 0.500 0.500
2 Rh 0.000 0.000 0.000

Properties
Its space group is Pm-3m. As for the electronic total energy: -6.9133 eV/atom.


Size of the total moment, record by record: 0.00; 0.00; 0.00 μB per cell
D(E_F), record by record: 0.854; 0.543; 1.308 states/eV/atom
Uncorrected formation energy, record by record: 5.42; -13.09; -12.13 kcal/mol of atoms